Arrangement 1

The following is a PBE calculation of crystalline La3Pm4Sm4 at its relaxed geometry, from Alexandria via LeMat-Bulk.

Cell: 3.6444 9.6013 22.4990 Å, 90.00 90.00 90.00°
Space group Immm (No. 71)
Inequivalent atoms, fractional coordinates:
La  0.0000  0.0000  0.0000
La  0.0000  0.5000  0.1092
Pm  0.0000  0.3223  0.3535
Sm  0.0000  0.0000  0.2586
Sm  0.0000  0.1849  0.5000

The density of states at the Fermi level comes out at 31.3 states/eV/cell.

---

Arrangement 2

The following is a PBE calculation of crystalline La3Pm4Sm4 at its relaxed geometry, from Alexandria via LeMat-Bulk.

Cell: 10.9159 5.8643 12.2593 Å, 90.00 90.00 90.00°
Space group Amm2 (No. 38)
Inequivalent atoms, fractional coordinates:
La  0.0000  0.0000  0.0000
La  0.2929  0.0000  0.1551
Pm  0.0000  0.0000  0.7021
Pm  0.2137  0.0000  0.4949
Pm  0.5000  0.0000  0.6336
Sm  0.0000  0.0000  0.3005
Sm  0.3020  0.0000  0.8531
Sm  0.5000  0.0000  0.3618

The density of states at the Fermi level comes out at 39.0 states/eV/cell.

---

Q: Which of them is the most stable? A: arrangement 1.

---

Arrangement 1

The following is a PBE calculation of crystalline La5Pm12Sm2 at its relaxed geometry, from Alexandria via LeMat-Bulk.

Cell: 13.2336 11.8282 9.5992 Å, 90.00 116.12 90.00°
Space group C2/m (No. 12)
Inequivalent atoms, fractional coordinates:
La  0.0000  0.0000  0.0000
La  0.1858  0.5000  0.7278
La  0.1947  0.0000  0.8291
Pm  0.0769  0.5000  0.2866
Pm  0.1050  0.2766  0.9184
Pm  0.1192  0.0000  0.4433
Pm  0.1953  0.2482  0.3075
Sm  0.0000  0.2650  0.5000

The density of states at the Fermi level comes out at 60.2 states/eV/cell.

---

Arrangement 2

The following is a PBE calculation of crystalline La5Pm12Sm2 at its relaxed geometry, from Alexandria via LeMat-Bulk.

Cell: 18.8660 8.2177 9.3724 Å, 90.00 109.78 90.00°
Space group C2/m (No. 12)
Inequivalent atoms, fractional coordinates:
La  0.0000  0.0000  0.0000
La  0.1940  0.5000  0.6793
La  0.2329  0.0000  0.7026
Pm  0.0038  0.5000  0.1689
Pm  0.0476  0.0000  0.6795
Pm  0.1349  0.2067  0.3425
Pm  0.1576  0.2304  0.9762
Sm  0.0000  0.3225  0.5000

The density of states at the Fermi level comes out at 57.4 states/eV/cell.

---

Q: Which of them is the most stable? A: arrangement 1.